Density functional theory data (PBE) for a geometry-optimized UOs2 structure.

```
12
Lattice="5.455 0.000 0.000 -2.727 4.724 0.000 0.000 0.000 8.226" Properties=species:S:1:pos:R:3 pbc="T T T"
U 0.000 3.149 0.726
U 0.000 3.149 3.387
U 2.727 1.575 4.839
U 2.727 1.575 7.500
Os 0.000 0.000 0.000
Os 0.000 0.000 4.113
Os 0.000 1.630 6.170
Os -1.316 3.909 6.170
Os 1.411 0.815 2.057
Os 1.316 3.909 6.170
Os 4.043 0.815 2.057
Os 2.727 3.094 2.057
```

Computed properties:
Uncorrected energy in eV/atom: -11.3636
Total magnetic moment in Bohr magnetons per cell: 3.4
Calculated formation energy in eV per atom: -0.114